VASP calculation (PBE-GGA) on a geometry-optimized KNaTl2Cl4 structure.

It has space group P2/m (No. 10), with a = 7.6571 Å, b = 4.4206 Å, c = 7.7719 Å, α = 90.00°, β = 109.07° and γ = 90.00°. The asymmetric unit holds K at (0.0000, 0.0000, 0.0000), Na at (0.5000, 0.5000, 0.0000), Tl at (0.0000, 0.5000, 0.5000), Tl at (0.5000, 0.0000, 0.5000), Cl at (0.2572, 0.5000, 0.2296) and Cl at (0.2696, 0.0000, 0.7755).

For the calculated total energy, the calculation gives -0.119 hartree per atom.